A plane-wave DFT calculation with PBE was carried out for TaCu2P after structural relaxation.

Structure (POSCAR):
```
TaCu2P
1.0
5.398 -0.010 0.061
-3.039 4.462 0.061
0.635 1.199 2.392
Cu P Ta
2 1 1
direct
0.000 0.000 0.000
0.500 0.500 0.000
0.500 0.000 0.500
0.000 0.500 0.500
```

Results
Energy relative to the elements, eV per formula unit: 0.2
Uncorrected energy, Ha/atom: -0.2322
Volume, Å³/atom: 14.2